# PBE-GGA K2ScInI6, optimized geometry
data_K2ScInI6
_chemical_formula_sum 'K6 Sc3 In3 I18'
_cell_length_a 8.5392
_cell_length_b 8.5392
_cell_length_c 21.7531
_cell_angle_alpha 90.00
_cell_angle_beta 90.00
_cell_angle_gamma 120.00
_space_group_name_H-M_alt 'R 3'
_space_group_IT_number 146
_space_group_name_Hall 'R 3'
loop_
_atom_site_label
_atom_site_type_symbol
_atom_site_fract_x
_atom_site_fract_y
_atom_site_fract_z
K1 K 0.0000 0.0000 0.0000
K2 K 0.0000 0.0000 0.4888
Sc1 Sc 0.0000 0.0000 0.6973
In1 In 0.0000 0.0000 0.2043
I1 I 0.0305 0.4128 0.4390
I2 I 0.0783 0.7051 0.2835
# Formation energy from raw total energies, eV/atom: -1.16
# Magnetization, Bohr magnetons per cell: 0.00